1.
{"formula": "Mo2RhSe", "functional": "GGA-PBE", "state": "optimized geometry", "space_group": "Immm, No. 71", "density_g_cm3": 10.024, "magnetic_moment_mub_per_atom": 0.000, "raw_formation_energy_ev_per_fu": 0.47, "cell": [[5.265, -0.005, 0.002], [2.462, 4.654, -0.002], [-3.347, -3.184, 2.526]], "species": ["Mo", "Mo", "Rh", "Se"], "fractional_positions": [[0.026, 0.026, 0.000], [0.474, 0.474, 0.000], [0.750, 0.250, 0.500], [0.250, 0.750, 0.500]]}

2.
{"formula": "MgTcP", "functional": "GGA-PBE", "state": "optimized geometry", "space_group": "Fmm2, No. 42", "de_polymorph_mev_per_atom": 514, "density_g_cm3": 5.206, "magnetic_moment_mub_per_atom": 0.000, "e_form_mev_per_atom": 40, "cell": [[-5.653, 2.182, 2.620], [-6.067, 1.845, -0.268], [-1.174, -2.189, 1.568]], "species": ["Tc", "Mg", "P"], "fractional_positions": [[0.315, 0.315, 0.685], [0.999, 0.999, 0.001], [0.685, 0.685, 0.315]]}

3.
{"formula": "Ca2MgPN", "functional": "GGA-PBE", "state": "optimized geometry", "space_group": "P4/mmm, No. 123", "density_g_cm3": 2.617, "magnetic_moment_mub_per_atom": 0.000, "raw_formation_energy_ev_per_fu": -4.65, "cell": [[4.779, 0.000, 0.000], [0.000, 4.779, 0.000], [0.000, 0.000, 4.152]], "species": ["N", "Ca", "Ca", "Mg", "P"], "fractional_positions": [[0.000, 0.000, 0.000], [0.000, 0.500, 0.000], [0.500, 0.000, 0.000], [0.000, 0.000, 0.500], [0.500, 0.500, 0.500]]}

4.
{"formula": "Tm2ThCu", "functional": "GGA-PBE", "state": "optimized geometry", "space_group": "R-3m, No. 166", "de_polymorph_mev_per_atom": 131, "density_g_cm3": 9.833, "magnetic_moment_mub_per_atom": 0.000, "e_form_mev_per_atom": 23, "cell": [[-2.959, -0.420, -1.962], [-1.482, -3.236, -0.328], [-6.905, 0.472, 7.056]], "species": ["Cu", "Tm", "Tm", "Th"], "fractional_positions": [[0.000, 0.000, 0.000], [0.266, 0.266, 0.203], [0.734, 0.734, 0.797], [0.500, 0.500, 0.500]]}